Record 1
The following is a DFT calculation (GGA-PBE) of a relaxed structure of NaPbN.

Unit cell a=3.5512 b=6.1866 c=7.1267 alpha=125.06 beta=90.56 gamma=89.39
Element x y z (fractional)
Pb  0.7454  0.5764  0.8418
Pb  0.2546  0.4236  0.1582
N  0.2497  0.2950  0.7768
Na  0.2462  0.0466  0.3523
Na  0.7538  0.9534  0.6477
N  0.7503  0.7050  0.2232

Values from the calculation:
Final energy   -25.69 eV for the cell shown
Symmetry   P-1 (2)
Formation energy (no corrections)   0.1696 eV/atom
Total magnetization   0.00 μB/atom

Record 2
The following is a DFT calculation (GGA-PBE) of a relaxed structure of Na2PbN.

Unit cell a=4.8491 b=4.8491 c=4.8491 alpha=60.00 beta=60.00 gamma=60.00
Element x y z (fractional)
N  0.0000  0.0000  0.0000
Pb  0.5000  0.5000  0.5000
Na  0.7500  0.7500  0.7500
Na  0.2500  0.2500  0.2500

Values from the calculation:
Final energy   -11.45 eV for the cell shown
Symmetry   Fm-3m (225)
Formation energy (no corrections)   0.8066 eV/atom
Total magnetization   0.00 μB/atom
Polymorph energy (0 for the lowest one)   8.84 kcal/mol of atoms

Record 3
The following is a DFT calculation (GGA-PBE) of a relaxed structure of Na2PtPbN.

Unit cell a=5.1045 b=5.1045 c=3.8124 alpha=90.00 beta=90.00 gamma=90.00
Element x y z (fractional)
Pb  0.5000  0.5000  0.5000
Na  0.5000  0.0000  0.0000
Na  0.0000  0.5000  0.0000
N  0.0000  0.0000  0.0000
Pt  0.0000  0.0000  0.5000

Values from the calculation:
Final energy   -20.78 eV for the cell shown
Symmetry   P4/mmm (123)
Formation energy (no corrections)   -0.0133 eV/atom
Total magnetization   0.00 μB/atom

Record 4
The following is a DFT calculation (GGA-PBE) of a relaxed structure of NaPbS2N.

Unit cell a=5.5804 b=5.5804 c=4.6934 alpha=90.00 beta=90.00 gamma=90.00
Last column: magnetic moment on the atom in μB.
Element x y z (fractional)
S  0.0000  0.5000  0.0000  0.47
Na  0.0000  0.0000  0.0000  0.01
S  0.5000  0.0000  0.0000  0.47
Pb  0.5000  0.5000  0.5000  -0.04
N  0.0000  0.0000  0.5000  1.73

Values from the calculation:
Final energy   -16.55 eV for the cell shown
Symmetry   P4/mmm (123)
Formation energy (no corrections)   1.0109 eV/atom
Total magnetization   0.80 μB/atom
Polymorph energy (0 for the lowest one)   9.55 kcal/mol of atoms

Record 5
The following is a DFT calculation (GGA-PBE) of a relaxed structure of NaPbS2N.

Unit cell a=5.3419 b=5.3419 c=4.5573 alpha=90.00 beta=90.00 gamma=90.00
Last column: magnetic moment on the atom in μB.
Element x y z (fractional)
Pb  0.0000  0.0000  0.0000  -0.04
S  0.0000  0.5000  0.0000  0.12
N  0.0000  0.0000  0.5000  1.10
Na  0.5000  0.5000  0.5000  0.00
S  0.5000  0.0000  0.0000  0.12

Values from the calculation:
Final energy   -18.62 eV for the cell shown
Symmetry   P4/mmm (123)
Formation energy (no corrections)   0.5969 eV/atom
Total magnetization   0.39 μB/atom
Polymorph energy (0 for the lowest one)   0.00 kcal/mol of atoms

Record 6
The following is a DFT calculation (GGA-PBE) of a relaxed structure of NaSbPbN2.

Unit cell a=4.2308 b=5.6954 c=4.2308 alpha=90.00 beta=90.00 gamma=90.00
Element x y z (fractional)
Na  0.0000  0.5000  0.0000
Pb  0.5000  0.5000  0.5000
N  0.5000  0.0000  0.0000
Sb  0.0000  0.0000  0.0000
N  0.0000  0.0000  0.5000

Values from the calculation:
Final energy   -19.57 eV for the cell shown
Symmetry   P4/mmm (123)
Formation energy (no corrections)   1.2469 eV/atom
Total magnetization   0.00 μB/atom

Record 7
The following is a DFT calculation (GGA-PBE) of a relaxed structure of NaPbSeN2.

Unit cell a=4.5619 b=5.7338 c=4.5619 alpha=90.00 beta=90.00 gamma=90.00
Last column: magnetic moment on the atom in μB.
Element x y z (fractional)
N  0.5000  0.0000  0.0000  1.11
Se  0.0000  0.5000  0.0000  0.18
N  0.0000  0.0000  0.5000  0.91
Na  0.5000  0.5000  0.5000  0.00
Pb  0.0000  0.0000  0.0000  -0.07

Values from the calculation:
Final energy   -19.46 eV for the cell shown
Symmetry   P4/mmm (123)
Formation energy (no corrections)   1.1400 eV/atom
Total magnetization   0.63 μB/atom
Polymorph energy (0 for the lowest one)   0.00 kcal/mol of atoms

Record 8
The following is a DFT calculation (GGA-PBE) of a relaxed structure of NaPbSeN2.

Unit cell a=4.2186 b=4.9900 c=4.2186 alpha=90.00 beta=90.00 gamma=90.00
Last column: magnetic moment on the atom in μB.
Element x y z (fractional)
N  0.0000  0.0000  0.5000  0.30
Pb  0.5000  0.5000  0.5000  -0.04
N  0.5000  0.0000  0.0000  0.34
Se  0.0000  0.0000  0.0000  0.04
Na  0.0000  0.5000  0.0000  0.00

Values from the calculation:
Final energy   -18.17 eV for the cell shown
Symmetry   P4/mmm (123)
Formation energy (no corrections)   1.3984 eV/atom
Total magnetization   0.17 μB/atom
Polymorph energy (0 for the lowest one)   5.96 kcal/mol of atoms

Record 9
The following is a DFT calculation (GGA-PBE) of a relaxed structure of NaPbSeN2.

Unit cell a=4.7566 b=4.7566 c=6.9867 alpha=90.00 beta=90.00 gamma=90.00
Last column: magnetic moment on the atom in μB.
Element x y z (fractional)
Na  0.0000  0.0000  0.0000  0.01
N  0.0000  0.5000  0.0000  1.60
N  0.5000  0.0000  0.0000  1.60
Se  0.0000  0.0000  0.5000  0.13
Pb  0.5000  0.5000  0.5000  -0.04

Values from the calculation:
Final energy   -17.05 eV for the cell shown
Symmetry   P4/mmm (123)
Formation energy (no corrections)   1.6235 eV/atom
Total magnetization   1.00 μB/atom
Polymorph energy (0 for the lowest one)   11.15 kcal/mol of atoms

Record 10
The following is a DFT calculation (GGA-PBE) of a relaxed structure of NaTaPbN2.

Unit cell a=4.1839 b=4.9390 c=4.1839 alpha=90.00 beta=90.00 gamma=90.00
Last column: magnetic moment on the atom in μB.
Element x y z (fractional)
N  0.0000  0.0000  0.5000  0.04
Pb  0.5000  0.5000  0.5000  -0.01
Ta  0.0000  0.5000  0.0000  0.09
N  0.5000  0.0000  0.0000  0.07
Na  0.0000  0.0000  0.0000  0.00

Values from the calculation:
Final energy   -21.38 eV for the cell shown
Symmetry   P4/mmm (123)
Formation energy (no corrections)   2.4294 eV/atom
Total magnetization   0.05 μB/atom

Record 11
The following is a DFT calculation (GGA-PBE) of a relaxed structure of NaTe2PbN.

Unit cell a=5.7391 b=5.7391 c=4.4840 alpha=90.00 beta=90.00 gamma=90.00
Last column: magnetic moment on the atom in μB.
Element x y z (fractional)
Pb  0.5000  0.5000  0.5000  0.01
Te  0.5000  0.0000  0.0000  0.15
Na  0.0000  0.0000  0.0000  0.01
Te  0.0000  0.5000  0.0000  0.15
N  0.0000  0.0000  0.5000  1.64

Values from the calculation:
Final energy   -15.33 eV for the cell shown
Symmetry   P4/mmm (123)
Formation energy (no corrections)   0.8604 eV/atom
Total magnetization   0.60 μB/atom
Polymorph energy (0 for the lowest one)   4.92 kcal/mol of atoms

Record 12
The following is a DFT calculation (GGA-PBE) of a relaxed structure of NaTe2PbN.

Unit cell a=6.0444 b=6.0444 c=4.4814 alpha=90.00 beta=90.00 gamma=90.00
Last column: magnetic moment on the atom in μB.
Element x y z (fractional)
Te  0.5000  0.0000  0.0000  0.20
Pb  0.0000  0.0000  0.0000  -0.02
N  0.0000  0.0000  0.5000  1.00
Te  0.0000  0.5000  0.0000  0.20
Na  0.5000  0.5000  0.5000  0.00

Values from the calculation:
Final energy   -16.40 eV for the cell shown
Symmetry   P4/mmm (123)
Formation energy (no corrections)   0.6472 eV/atom
Total magnetization   0.44 μB/atom
Polymorph energy (0 for the lowest one)   0.00 kcal/mol of atoms

Among the records above, which one has the highest formation energy (no corrections)?
NaTaPbN2

Which of these has the highest total magnetization?
number 9

Among the records above, which one has the lowest formation energy (no corrections)?
Na2PtPbN

Which of these has the lowest final energy?
NaPbN